*one*
A relaxed structure of TcPbI2N. Source: the Alexandria database, functional GGA-PBE.

The structure in POSCAR format:
```
TcPbI2N
1.0
5.721 0.000 0.000
0.000 5.721 0.000
0.000 0.000 3.823
I Tc N Pb
2 1 1 1
Direct
0.000 0.500 0.000
0.500 0.000 0.000
0.000 0.000 0.000
0.000 0.000 0.500
0.500 0.500 0.500
```

Properties
total moment = 0.00 μB/cell

*two*
A relaxed structure of TcPbI2N. Source: the Alexandria database, functional GGA-PBE.

The structure in POSCAR format:
```
TcPbI2N
1.0
-3.698 2.286 4.067
-4.617 -1.047 -3.609
-0.497 -3.996 1.795
I Tc N Pb
2 1 1 1
Direct
0.500 0.000 0.000
0.000 0.500 0.000
0.500 0.500 0.500
0.000 0.000 0.500
0.000 0.000 0.000
```

Properties
total moment = 4.45 μB/cell

Top of the stability list: *one*, leading by 1330 meV per atom.

*one*
A relaxed structure of TiPbIN2. Source: the Alexandria database, functional GGA-PBE.

The structure in POSCAR format:
```
TiPbIN2
1.0
-0.270 3.787 1.807
-3.674 0.662 -1.935
-2.664 -2.239 4.293
Ti I N Pb
1 1 2 1
Direct
0.000 0.000 0.000
0.000 0.000 0.500
0.000 0.500 0.000
0.500 0.000 0.000
0.500 0.500 0.500
```

Properties
total moment = 0.51 μB/cell

*two*
A relaxed structure of TiPbIN2. Source: the Alexandria database, functional GGA-PBE.

The structure in POSCAR format:
```
TiPbIN2
1.0
4.342 0.000 0.000
0.000 4.342 0.000
0.000 0.000 5.759
N I Pb Ti
2 1 1 1
Direct
0.000 0.500 0.000
0.500 0.000 0.000
0.000 0.000 0.500
0.000 0.000 0.000
0.500 0.500 0.500
```

Properties
total moment = 0.00 μB/cell

Top of the stability list: *one*, leading by 1372 meV per atom.

*one*
A relaxed structure of TlPbI2N. Source: the Alexandria database, functional GGA-PBE.

The structure in POSCAR format:
```
TlPbI2N
1.0
-4.355 -3.575 2.772
4.427 -4.157 1.595
0.832 2.749 4.854
I Pb Tl N
2 1 1 1
Direct
0.000 0.500 0.000
0.500 0.000 0.000
0.000 0.000 0.000
0.500 0.500 0.500
0.000 0.000 0.500
```

Properties
total moment = 2.00 μB/cell

*two*
A relaxed structure of TlPbI2N. Source: the Alexandria database, functional GGA-PBE.

The structure in POSCAR format:
```
TlPbI2N
1.0
6.248 0.000 0.000
0.000 6.248 0.000
0.000 0.000 4.335
Pb I N Tl
1 2 1 1
Direct
0.500 0.500 0.500
0.500 0.000 0.000
0.000 0.500 0.000
0.000 0.000 0.500
0.000 0.000 0.000
```

Properties
total moment = 0.93 μB/cell

Top of the stability list: *one*, leading by 190 meV per atom.

*one*
A relaxed structure of VPbI2N. Source: the Alexandria database, functional GGA-PBE.

The structure in POSCAR format:
```
VPbI2N
1.0
5.819 0.000 0.000
0.000 5.819 0.000
0.000 0.000 3.750
I N Pb V
2 1 1 1
Direct
0.500 0.000 0.000
0.000 0.500 0.000
0.000 0.000 0.500
0.500 0.500 0.500
0.000 0.000 0.000
```

Properties
total moment = 1.42 μB/cell

*two*
A relaxed structure of VPbI2N. Source: the Alexandria database, functional GGA-PBE.

The structure in POSCAR format:
```
VPbI2N
1.0
-0.618 5.330 -2.154
-4.609 -1.754 -3.019
-2.533 1.028 3.269
I V Pb N
2 1 1 1
Direct
0.000 0.500 0.000
0.500 0.000 0.000
0.500 0.500 0.500
0.000 0.000 0.000
0.000 0.000 0.500
```

Properties
total moment = 3.24 μB/cell

Top of the stability list: *one*, leading by 1274 meV per atom.

*one*
A relaxed structure of PbWIN2. Source: the Alexandria database, functional GGA-PBE.

The structure in POSCAR format:
```
PbWIN2
1.0
4.166 0.000 0.000
0.000 4.166 0.000
0.000 0.000 5.594
I W N Pb
1 1 2 1
Direct
0.000 0.000 0.500
0.000 0.000 0.000
0.500 0.000 0.000
0.000 0.500 0.000
0.500 0.500 0.500
```

Properties
total moment = 0.04 μB/cell

*two*
A relaxed structure of PbWIN2. Source: the Alexandria database, functional GGA-PBE.

The structure in POSCAR format:
```
PbWIN2
1.0
4.354 0.000 0.000
0.000 4.354 0.000
0.000 0.000 6.262
W N Pb I
1 2 1 1
Direct
0.500 0.500 0.500
0.500 0.000 0.000
0.000 0.500 0.000
0.000 0.000 0.000
0.000 0.000 0.500
```

Properties
total moment = 5.26 μB/cell

Top of the stability list: *one*, leading by 1814 meV per atom.

*one*
A relaxed structure of PdI3N. Source: the Alexandria database, functional GGA-PBE.

The structure in POSCAR format:
```
PdI3N
1.0
5.521 0.000 0.000
0.000 5.521 0.000
0.000 0.000 5.521
I N Pd
3 1 1
Direct
0.000 0.000 0.500
0.000 0.500 0.000
0.500 0.000 0.000
0.500 0.500 0.500
0.000 0.000 0.000
```

Properties
total moment = 2.94 μB/cell

*two*
A relaxed structure of PdI3N. Source: the Alexandria database, functional GGA-PBE.

The structure in POSCAR format:
```
PdI3N
1.0
3.900 6.596 -0.363
-3.900 6.596 -0.363
0.000 1.112 7.650
I N Pd
6 2 2
Direct
0.510 0.510 0.733
0.025 0.025 0.726
0.235 0.235 0.182
0.765 0.765 0.818
0.975 0.975 0.274
0.490 0.490 0.267
0.908 0.908 0.908
0.092 0.092 0.092
0.754 0.246 0.500
0.246 0.754 0.500
```

Properties
total moment = 0.00 μB/cell

*three*
A relaxed structure of PdI3N. Source: the Alexandria database, functional GGA-PBE.

The structure in POSCAR format:
```
PdI3N
1.0
4.995 0.000 0.000
0.000 4.995 0.000
0.000 0.000 4.995
Pd I N
1 3 1
Direct
0.500 0.500 0.500
0.000 0.000 0.500
0.000 0.500 0.000
0.500 0.000 0.000
0.000 0.000 0.000
```

Properties
total moment = 0.49 μB/cell

Top of the stability list: *two*, leading by 464 meV per atom.

*one*
A relaxed structure of PdIN. Source: the Alexandria database, functional GGA-PBE.

The structure in POSCAR format:
```
PdIN
1.0
-1.569 2.200 4.636
-3.585 -5.951 1.610
6.276 -3.359 1.556
Pd I N
4 4 4
Direct
0.000 0.722 0.000
0.500 0.778 0.000
0.000 0.278 0.000
0.500 0.222 0.000
0.661 0.500 0.269
0.339 0.500 0.731
0.839 0.000 0.731
0.161 0.000 0.269
0.517 0.000 0.186
0.017 0.500 0.186
0.983 0.500 0.814
0.483 0.000 0.814
```

Properties
total moment = 0.00 μB/cell

*two*
A relaxed structure of PdIN. Source: the Alexandria database, functional GGA-PBE.

The structure in POSCAR format:
```
PdIN
1.0
3.172 -0.044 0.576
0.293 4.604 -1.258
-0.496 -4.196 11.911
N I Pd
2 2 2
Direct
0.030 0.414 0.943
0.970 0.586 0.057
0.329 0.489 0.324
0.671 0.511 0.676
0.395 0.800 0.199
0.605 0.200 0.801
```

Properties
total moment = 0.00 μB/cell

Top of the stability list: *two*, leading by 606 meV per atom.

*one*
A relaxed structure of PdIN2. Source: the Alexandria database, functional GGA-PBE.

The structure in POSCAR format:
```
PdIN2
1.0
-5.424 -2.343 2.783
-4.524 -4.673 0.581
-3.050 -4.544 3.564
N I Pd
2 1 1
Direct
0.883 0.883 0.883
0.117 0.117 0.117
0.000 0.000 0.000
0.500 0.500 0.500
```

Properties
total moment = 0.00 μB/cell

*two*
A relaxed structure of PdIN2. Source: the Alexandria database, functional GGA-PBE.

The structure in POSCAR format:
```
PdIN2
1.0
2.002 0.000 6.235
-1.001 1.733 6.235
-1.001 -1.733 6.235
N Pd I
2 1 1
Direct
0.106 0.106 0.106
0.894 0.894 0.894
0.000 0.000 0.000
0.500 0.500 0.500
```

Properties
total moment = 0.00 μB/cell

*three*
A relaxed structure of PdIN2. Source: the Alexandria database, functional GGA-PBE.

The structure in POSCAR format:
```
PdIN2
1.0
1.380 1.288 3.720
-0.153 4.049 0.994
-2.706 1.340 2.878
N Pd I
2 1 1
Direct
0.750 0.750 0.750
0.250 0.250 0.250
0.000 0.000 0.000
0.500 0.500 0.500
```

Properties
total moment = 0.49 μB/cell

*four*
A relaxed structure of PdIN2. Source: the Alexandria database, functional GGA-PBE.

The structure in POSCAR format:
```
PdIN2
1.0
-1.377 -5.339 -1.896
5.321 -1.888 1.453
0.722 -4.505 3.198
Pd I N
2 2 4
Direct
0.500 0.500 0.000
0.250 0.750 0.500
0.000 0.000 0.000
0.750 0.250 0.500
0.558 0.125 0.250
0.875 0.808 0.750
0.375 0.442 0.750
0.192 0.625 0.250
```

Properties
total moment = 0.00 μB/cell

Top of the stability list: *one*, leading by 405 meV per atom.

*one*
A relaxed structure of Pd3IN. Source: the Alexandria database, functional GGA-PBE.

The structure in POSCAR format:
```
Pd3IN
1.0
5.061 0.000 0.000
0.000 5.061 0.000
0.000 0.000 5.061
I Pd N
1 3 1
Direct
0.000 0.000 0.000
0.500 0.000 0.000
0.000 0.000 0.500
0.000 0.500 0.000
0.500 0.500 0.500
```

Properties
total moment = 2.46 μB/cell

*two*
A relaxed structure of Pd3IN. Source: the Alexandria database, functional GGA-PBE.

The structure in POSCAR format:
```
Pd3IN
1.0
-3.227 2.415 1.590
-1.506 -3.438 2.164
2.468 1.060 3.400
Pd I N
3 1 1
Direct
0.000 0.500 0.000
0.500 0.000 0.000
0.000 0.000 0.500
0.500 0.500 0.500
0.000 0.000 0.000
```

Properties
total moment = 0.00 μB/cell

Top of the stability list: *two*, leading by 1160 meV per atom.

*one*
A relaxed structure of Pd2IN. Source: the Alexandria database, functional GGA-PBE.

The structure in POSCAR format:
```
Pd2IN
1.0
-4.528 0.337 -2.845
-1.961 -4.243 2.619
-5.444 1.475 3.794
Pd I N
4 2 2
Direct
0.287 0.625 0.250
0.375 0.537 0.750
0.463 0.125 0.250
0.875 0.713 0.750
0.000 0.000 0.000
0.750 0.250 0.500
0.500 0.500 0.000
0.250 0.750 0.500
```

Properties
total moment = 0.00 μB/cell

*two*
A relaxed structure of Pd2IN. Source: the Alexandria database, functional GGA-PBE.

The structure in POSCAR format:
```
Pd2IN
1.0
-0.513 -1.394 4.236
-2.721 2.235 2.784
-3.882 -1.841 1.302
I N Pd
1 1 2
Direct
0.500 0.500 0.500
0.000 0.000 0.000
0.250 0.250 0.250
0.750 0.750 0.750
```

Properties
total moment = 0.00 μB/cell

Top of the stability list: *one*, leading by 682 meV per atom.

*one*
A relaxed structure of PdPtI2N. Source: the Alexandria database, functional GGA-PBE.

The structure in POSCAR format:
```
PdPtI2N
1.0
-1.232 -2.226 -4.777
4.853 -1.791 -0.417
-1.470 -4.566 2.507
N Pt I Pd
1 1 2 1
Direct
0.500 0.500 0.500
0.000 0.000 0.000
0.000 0.000 0.500
0.500 0.000 0.000
0.000 0.500 0.000
```

Properties
total moment = 2.21 μB/cell

*two*
A relaxed structure of PdPtI2N. Source: the Alexandria database, functional GGA-PBE.

The structure in POSCAR format:
```
PdPtI2N
1.0
5.585 0.000 0.000
0.000 5.585 0.000
0.000 0.000 3.692
Pd I N Pt
1 2 1 1
Direct
0.000 0.000 0.000
0.500 0.000 0.000
0.000 0.500 0.000
0.000 0.000 0.500
0.500 0.500 0.500
```

Properties
total moment = 0.00 μB/cell

*three*
A relaxed structure of PdPtI2N. Source: the Alexandria database, functional GGA-PBE.

The structure in POSCAR format:
```
PdPtI2N
1.0
5.694 0.000 0.000
0.000 5.694 0.000
0.000 0.000 3.697
Pt N Pd I
1 1 1 2
Direct
0.000 0.000 0.000
0.000 0.000 0.500
0.500 0.500 0.500
0.500 0.000 0.000
0.000 0.500 0.000
```

Properties
total moment = 0.35 μB/cell

Top of the stability list: *three*, leading by 379 meV per atom.

*one*
A relaxed structure of RePdI2N. Source: the Alexandria database, functional GGA-PBE.

The structure in POSCAR format:
```
RePdI2N
1.0
-5.032 -1.706 1.526
-1.267 -0.995 -5.288
1.293 -3.500 0.349
I Pd Re N
2 1 1 1
Direct
0.000 0.500 0.000
0.500 0.000 0.000
0.500 0.500 0.500
0.000 0.000 0.000
0.000 0.000 0.500
```

Properties
total moment = 0.00 μB/cell

*two*
A relaxed structure of RePdI2N. Source: the Alexandria database, functional GGA-PBE.

The structure in POSCAR format:
```
RePdI2N
1.0
5.786 0.000 0.000
0.000 5.786 0.000
0.000 0.000 3.716
I Re N Pd
2 1 1 1
Direct
0.000 0.500 0.000
0.500 0.000 0.000
0.500 0.500 0.500
0.000 0.000 0.500
0.000 0.000 0.000
```

Properties
total moment = 4.64 μB/cell

Top of the stability list: *one*, leading by 1014 meV per atom.